1.
GGA-PBE Zr2TeRu, relaxed; N(E_F) = 0.999 states/eV/atom; E_form (uncorrected) = -0.35 eV per atom; density = 8.5 g/cm3; electronic total energy = -7.72 eV per atom
1.0
-0.028 4.261 -2.979
0.376 0.896 -5.108
-4.051 1.024 -2.387
Te Zr Ru
1 2 1
Direct
0.750 0.750 0.750
0.985 0.985 0.016
0.515 0.515 0.484
0.250 0.250 0.250

***

2.
GGA-PBE ZrTeRu2, relaxed; N(E_F) = 0.677 states/eV/atom; E_form (uncorrected) = 0.10 eV per atom; density = 9.4 g/cm3; electronic total energy = -7.46 eV per atom
1.0
-8.385 0.829 -0.495
-7.687 -0.195 -3.480
-8.040 -2.332 -1.080
Ru Te Zr
2 1 1
Direct
0.501 0.501 0.501
0.999 0.999 0.999
0.750 0.750 0.750
0.250 0.250 0.250

***

3.
GGA-PBE ZrTeRu2, relaxed; N(E_F) = 1.325 states/eV/atom; E_form (uncorrected) = 0.29 eV per atom; density = 9.2 g/cm3; electronic total energy = -7.27 eV per atom
1.0
-6.218 3.387 -4.897
-7.867 1.091 -3.323
-7.387 3.976 -1.938
Ru Te Zr
2 1 1
Direct
0.251 0.251 0.251
0.000 0.000 0.000
0.509 0.509 0.509
0.740 0.740 0.740

***

4.
GGA-PBE ZrTeRu2, relaxed; N(E_F) = 0.912 states/eV/atom; E_form (uncorrected) = -0.16 eV per atom; density = 9.8 g/cm3; electronic total energy = -7.72 eV per atom
1.0
5.095 -0.024 0.000
3.927 3.247 0.000
1.129 0.403 4.286
Zr Ru Te
1 2 1
Direct
0.255 0.255 0.194
0.991 0.991 0.062
0.761 0.761 0.682
0.493 0.493 0.562

***

5.
GGA-PBE ZrTeRu2, relaxed; N(E_F) = 1.266 states/eV/atom; E_form (uncorrected) = 0.18 eV per atom; density = 9.8 g/cm3; electronic total energy = -7.38 eV per atom
1.0
-0.734 -4.590 0.367
3.009 -2.660 2.368
-1.242 -1.842 4.099
Zr Ru Te
1 2 1
Direct
0.750 0.750 0.750
0.000 0.000 0.000
0.250 0.250 0.250
0.500 0.500 0.500

***

6.
GGA-PBE ZrTeRu2, relaxed; N(E_F) = 0.706 states/eV/atom; E_form (uncorrected) = -0.09 eV per atom; density = 9.6 g/cm3; electronic total energy = -7.65 eV per atom
1.0
-2.818 2.872 0.460
-2.210 -2.291 0.769
-0.863 -1.815 6.051
Ru Zr Te
2 1 1
Direct
0.500 0.209 0.290
0.000 0.035 0.966
0.500 0.709 0.791
0.000 0.547 0.453

***

7.
GGA-PBE Zr2TeRu2, relaxed; N(E_F) = 0.625 states/eV/atom; E_form (uncorrected) = -0.33 eV per atom; density = 8.8 g/cm3; electronic total energy = -8.08 eV per atom
1.0
7.572 0.000 0.000
0.000 7.572 0.000
0.000 0.000 3.353
Zr Ru Te
4 4 2
Direct
0.340 0.160 0.500
0.160 0.660 0.500
0.840 0.340 0.500
0.660 0.840 0.500
0.366 0.866 0.000
0.134 0.366 0.000
0.866 0.634 0.000
0.634 0.134 0.000
0.000 0.000 0.000
0.500 0.500 0.000

***

8.
GGA-PBE ZrTeRu2, relaxed; N(E_F) = 0.783 states/eV/atom; E_form (uncorrected) = -0.22 eV per atom; density = 10.0 g/cm3; electronic total energy = -7.78 eV per atom
1.0
-1.017 4.187 -0.733
0.215 -0.702 -4.309
-3.550 -0.869 -0.035
Ru Zr Te
2 1 1
Direct
0.000 0.000 0.000
0.500 0.500 0.000
0.000 0.500 0.500
0.500 0.000 0.500

***

9.
GGA-PBE ZrTeRu, relaxed; N(E_F) = 0.885 states/eV/atom; E_form (uncorrected) = -0.19 eV per atom; density = 8.9 g/cm3; electronic total energy = -7.18 eV per atom
1.0
-2.611 0.491 5.291
-1.989 -2.743 4.855
2.451 0.169 2.237
Te Ru Zr
1 1 1
Direct
0.657 0.657 0.343
0.990 0.990 0.010
0.352 0.352 0.648

***

10.
GGA-PBE Zr2TeRu, relaxed; N(E_F) = 0.645 states/eV/atom; E_form (uncorrected) = -0.31 eV per atom; density = 8.6 g/cm3; electronic total energy = -7.69 eV per atom
1.0
-4.029 0.454 -0.010
-0.209 -1.950 -4.287
-0.424 -3.733 1.718
Zr Ru Te
2 1 1
Direct
0.500 0.500 0.000
0.000 0.000 0.000
0.500 0.000 0.500
0.000 0.500 0.500

***

11.
GGA-PBE ZrTeRu2, relaxed; N(E_F) = 0.605 states/eV/atom; E_form (uncorrected) = 0.55 eV per atom; density = 6.9 g/cm3; electronic total energy = -7.01 eV per atom
1.0
-5.392 1.723 1.480
-1.930 -1.466 -5.325
-4.878 -5.359 0.029
Te Zr Ru
2 2 4
Direct
0.750 0.250 0.500
0.000 0.000 0.000
0.250 0.750 0.500
0.500 0.500 0.000
0.629 0.125 0.250
0.121 0.625 0.250
0.375 0.371 0.750
0.875 0.879 0.750

***

12.
GGA-PBE ZrTeRu, relaxed; N(E_F) = 0.324 states/eV/atom; E_form (uncorrected) = -0.41 eV per atom; density = 9.1 g/cm3; electronic total energy = -7.40 eV per atom
1.0
-2.566 -0.291 -3.675
3.498 -2.769 0.522
-1.965 -2.190 1.546
Te Zr Ru
1 1 1
Direct
0.333 0.667 0.167
0.667 0.333 0.667
0.000 0.000 0.166